Entry from Alexandria via LeMat-Bulk: Na2MnOsO after structural relaxation (PBE+U).

Properties
**Space group**: P4/mmm (123)
**D(E_F)**: 0.6066 states/eV per atom
**Final energy**: -4.545 eV per atom

The structure in extended XYZ format:
```
5
Lattice="5.779 0.000 0.000 0.000 5.779 0.000 0.000 0.000 3.558" Properties=species:S:1:pos:R:3 pbc="T T T"
Na 0.000 2.890 0.000
Na 2.890 0.000 0.000
Mn 0.000 0.000 0.000
Os 2.890 2.890 1.779
O 0.000 0.000 1.779
```